1.
The following is a DFT calculation (PBE) of TbPm5Th after structural relaxation.

Geometry as POSCAR:
```
TbPm5Th
1.0
-3.264 -4.115 3.310
4.408 -1.620 8.156
-5.387 5.312 4.647
Tb Pm Th
2 10 2
Direct
0.511 0.977 0.750 Tb
0.489 0.023 0.250 Tb
0.382 0.632 0.855 Pm
0.461 0.305 0.536 Pm
0.015 0.368 0.355 Pm
0.853 0.294 0.750 Pm
0.234 0.305 0.964 Pm
0.766 0.695 0.036 Pm
0.147 0.706 0.250 Pm
0.985 0.632 0.645 Pm
0.539 0.695 0.464 Pm
0.618 0.368 0.145 Pm
0.000 0.000 0.000 Th
0.000 0.000 0.500 Th
```

***

2.
The following is a DFT calculation (PBE) of Tb6Pm3Th2 after structural relaxation.

Geometry as POSCAR:
```
Tb6Pm3Th2
1.0
3.588 0.000 0.220
1.787 3.111 0.220
-0.170 -0.099 32.132
Tb Pm Th
6 3 2
Direct
0.908 0.908 0.277 Tb
0.092 0.092 0.723 Tb
0.818 0.818 0.547 Tb
0.182 0.182 0.453 Tb
0.636 0.636 0.092 Tb
0.364 0.364 0.908 Tb
0.000 0.000 0.000 Pm
0.728 0.728 0.817 Pm
0.272 0.272 0.183 Pm
0.545 0.545 0.365 Th
0.455 0.455 0.635 Th
```

***

3.
The following is a DFT calculation (PBE) of Tb4Pm7Th after structural relaxation.

Geometry as POSCAR:
```
Tb4Pm7Th
1.0
-3.741 -0.552 -4.732
-5.673 -10.039 1.778
-6.183 2.721 0.693
Tb Pm Th
4 7 1
Direct
0.639 0.223 0.499 Tb
0.361 0.777 0.501 Tb
0.754 0.680 0.812 Tb
0.246 0.320 0.188 Tb
0.788 0.921 0.503 Pm
0.212 0.079 0.497 Pm
0.060 0.677 0.202 Pm
0.940 0.323 0.798 Pm
0.371 0.501 0.758 Pm
0.500 0.000 0.000 Pm
0.629 0.499 0.242 Pm
0.000 0.000 0.000 Th
```

Computed properties:
The calculation puts the polymorph energy (0 for the lowest one) at 0.263 eV/atom.

***

4.
The following is a DFT calculation (PBE) of Tb6Pm12Th after structural relaxation.

Geometry as POSCAR:
```
Tb6Pm12Th
1.0
8.600 0.682 0.817
-0.630 8.603 0.817
-0.630 -0.734 8.611
Tb Pm Th
6 12 1
Direct
0.744 0.904 0.300 Tb
0.700 0.256 0.096 Tb
0.096 0.700 0.256 Tb
0.256 0.096 0.700 Tb
0.300 0.744 0.904 Tb
0.904 0.300 0.744 Tb
0.780 0.536 0.438 Pm
0.438 0.780 0.536 Pm
0.536 0.438 0.780 Pm
0.220 0.464 0.562 Pm
0.562 0.220 0.464 Pm
0.464 0.562 0.220 Pm
0.016 0.198 0.355 Pm
0.802 0.645 0.984 Pm
0.645 0.984 0.802 Pm
0.984 0.802 0.645 Pm
0.198 0.355 0.016 Pm
0.355 0.016 0.198 Pm
0.000 0.000 0.000 Th
```

Computed properties:
The calculation puts the polymorph energy (0 for the lowest one) at 0.004 eV/atom.

***

Result set for uncorrected energy: -4.9109; -5.1550; -4.6562; -4.7228 eV/atom, one per record in the order listed.
Result set for calculated volume: 34.26; 32.63; 34.57; 34.23 A^3/atom, one per record in the order listed.